1.
DFT (PBE) results for crystalline CsMgInCl4 at its relaxed geometry.

abc: 7.1829 7.5063 10.0620
angles: 90.00 112.52 90.00
Fractional positions:
Cs1 0.3203 0.2500 0.0763
Cl1 0.4467 0.7500 0.1725
Mg1 0.2336 0.7500 0.2995
Cl2 0.9780 0.5012 0.7651
Cl3 0.5533 0.2500 0.8275
Cl4 0.5709 0.2500 0.4517
Mg2 0.7664 0.2500 0.7005
Cl5 0.4291 0.7500 0.5483
Cl6 0.9780 0.9988 0.7651
Cs2 0.6797 0.7500 0.9237
Cl7 0.0220 0.0012 0.2349
Cl8 0.0220 0.4988 0.2349
In1 0.8216 0.7500 0.5055
In2 0.1784 0.2500 0.4945

Calculated values
energy = -3.40 eV/atom
E_form (uncorrected) = -1606 meV per atom

***

2.
DFT (PBE) results for crystalline Cs3Mg2InCl8 at its relaxed geometry.

abc: 7.8029 7.8029 9.9221
angles: 90.00 90.00 120.00
Fractional positions:
Cl1 0.3333 0.6667 0.9673
Cl2 0.1743 0.8257 0.2986
Mg1 0.3333 0.6667 0.1989
Cl3 0.6667 0.3333 0.0327
Cl4 0.3486 0.1743 0.7014
Cl5 0.8257 0.6514 0.7014
Cl6 0.8257 0.1743 0.7014
Cs1 0.3333 0.6667 0.6327
Cs2 0.6667 0.3333 0.3673
Cl7 0.1743 0.3486 0.2986
Mg2 0.6667 0.3333 0.8011
Cs3 0.0000 0.0000 0.0000
In1 0.0000 0.0000 0.5000
Cl8 0.6514 0.8257 0.2986

Calculated values
energy = -3.43 eV/atom
E_form (uncorrected) = -1767 meV per atom

***

| no. | V (Å³/f.u.) |
| --- | --- |
| 1 | 250.6 |
| 2 | 523.2 |